# 1
Here is a relaxed structure of LaTm5 from the Alexandria database. Energies are from PBE-GGA.

## Properties
DFT formation energy (eV per formula unit): 0.19
V (Å³/f.u.): 187
E above lowest polymorph (kcal/mol of atoms): 0.00
Total magnetization (Bohr magnetons per cell): 0.00
N(E_F) (states/eV per cell): 16.6
Energy (eV/cell): -54.19

```
LaTm5
1.0
6.112 0.000 0.000
0.000 10.579 0.000
-2.035 0.000 5.775
La Tm
2 10
Direct
0.249 0.250 0.001
0.751 0.750 0.999
0.250 0.082 0.500
0.250 0.418 0.500
0.250 0.583 0.000
0.250 0.917 0.000
0.251 0.750 0.501
0.749 0.250 0.499
0.750 0.083 0.000
0.750 0.417 0.000
0.750 0.582 0.500
0.750 0.918 0.500
```

# 2
Here is a relaxed structure of LaTm5 from the Alexandria database. Energies are from PBE-GGA.

## Properties
DFT formation energy (eV per formula unit): 0.23
V (Å³/f.u.): 188
E above lowest polymorph (kcal/mol of atoms): 0.16
Total magnetization (Bohr magnetons per cell): 0.00
N(E_F) (states/eV per cell): 9.3
Energy (eV/cell): -27.05

```
LaTm5
1.0
2.498 -7.508 0.000
2.498 7.508 0.000
0.000 0.000 5.009
La Tm
1 5
Direct
0.000 0.000 0.000
0.168 0.832 0.500
0.330 0.670 0.000
0.500 0.500 0.500
0.670 0.330 0.000
0.832 0.168 0.500
```

# 3
Here is a relaxed structure of LaTm2 from the Alexandria database. Energies are from PBE-GGA.

## Properties
DFT formation energy (eV per formula unit): 0.11
V (Å³/f.u.): 97
E above lowest polymorph (kcal/mol of atoms): 0.00
Total magnetization (Bohr magnetons per cell): 0.00
N(E_F) (states/eV per cell): 9.0
Energy (eV/cell): -27.51

```
LaTm2
1.0
5.663 -2.537 0.000
5.663 2.537 0.000
-2.243 0.000 6.747
La Tm
2 4
Direct
0.169 0.169 0.087
0.831 0.831 0.913
0.164 0.164 0.582
0.497 0.497 0.744
0.503 0.503 0.256
0.836 0.836 0.418
```

# 4
Here is a relaxed structure of La13Tm2 from the Alexandria database. Energies are from PBE-GGA.

## Properties
DFT formation energy (eV per formula unit): 0.64
V (Å³/f.u.): 538
Total magnetization (Bohr magnetons per cell): 0.00
N(E_F) (states/eV per cell): 23.0
Energy (eV/cell): -72.36

```
La13Tm2
1.0
6.867 0.000 0.000
1.279 9.199 0.000
1.207 3.546 8.511
La Tm
13 2
Direct
0.000 0.000 0.000
0.099 0.438 0.769
0.190 0.188 0.216
0.298 0.626 0.974
0.306 0.961 0.641
0.394 0.396 0.410
0.498 0.170 0.837
0.502 0.830 0.163
0.606 0.604 0.590
0.694 0.039 0.359
0.702 0.374 0.026
0.810 0.812 0.784
0.901 0.562 0.231
0.101 0.766 0.429
0.899 0.234 0.571
```

# 5
Here is a relaxed structure of La13Tm3 from the Alexandria database. Energies are from PBE-GGA.

## Properties
DFT formation energy (eV per formula unit): 0.58
V (Å³/f.u.): 574
Total magnetization (Bohr magnetons per cell): 0.00
N(E_F) (states/eV per cell): 30.3
Energy (eV/cell): -76.89

```
La13Tm3
1.0
7.443 0.000 0.000
0.000 5.974 6.452
0.000 -5.974 6.452
La Tm
13 3
Direct
0.000 0.000 0.000
0.000 0.414 0.926
0.000 0.500 0.500
0.000 0.926 0.414
0.251 0.748 0.748
0.253 0.173 0.664
0.253 0.664 0.173
0.500 0.003 0.003
0.500 0.414 0.923
0.500 0.923 0.414
0.747 0.173 0.664
0.747 0.664 0.173
0.749 0.748 0.748
0.251 0.255 0.255
0.500 0.497 0.497
0.749 0.255 0.255
```

# 6
Here is a relaxed structure of La3Tm4 from the Alexandria database. Energies are from PBE-GGA.

## Properties
DFT formation energy (eV per formula unit): 0.51
V (Å³/f.u.): 232
E above lowest polymorph (kcal/mol of atoms): 0.80
Total magnetization (Bohr magnetons per cell): 0.00
N(E_F) (states/eV per cell): 18.4
Energy (eV/cell): -64.31

```
La3Tm4
1.0
7.537 4.352 2.358
-7.537 4.352 2.358
0.000 -8.704 2.358
La Tm
6 8
Direct
0.010 0.610 0.733
0.267 0.990 0.390
0.390 0.267 0.990
0.610 0.733 0.010
0.733 0.010 0.610
0.990 0.390 0.267
0.000 0.000 0.000
0.109 0.254 0.563
0.254 0.563 0.109
0.437 0.891 0.746
0.500 0.500 0.500
0.563 0.109 0.254
0.746 0.437 0.891
0.891 0.746 0.437
```